CsNb2FeOs: optimized geometry, PBE-GGA.

The structure in POSCAR format:
```
CsNb2FeOs
1.0
4.800 0.000 0.000
0.000 4.800 0.000
0.000 0.000 4.626
Cs Nb Fe Os
1 2 1 1
direct
0.000 0.000 0.000
0.000 0.500 0.500
0.500 0.000 0.500
0.500 0.500 0.500
0.500 0.500 0.000
```

Computed properties:
formation enthalpy at 0 K: 1.46 eV/atom
E_tot: -6.67 eV/atom

---

EuGd2S4: optimized geometry, PBE-GGA.

The structure in POSCAR format:
```
EuGd2S4
1.0
-4.254 4.254 4.230
4.254 -4.254 4.230
4.254 4.254 -4.230
Eu Gd S
2 4 8
direct
0.000 0.000 0.000
0.750 0.250 0.500
0.249 0.625 0.124
0.375 0.499 0.624
0.501 0.125 0.876
0.875 0.751 0.376
0.132 0.733 0.748
0.134 0.235 0.752
0.267 0.015 0.399
0.483 0.382 0.248
0.616 0.868 0.601
0.618 0.866 0.101
0.765 0.517 0.899
0.985 0.384 0.252
```

Computed properties:
E_tot: -9.95 eV/atom
raw formation energy: -1421.1 kJ/mol of formula units

---

PmMnSi2: optimized geometry, PBE-GGA.

The structure in POSCAR format:
```
PmMnSi2
1.0
1.991 1.150 5.123
-1.991 1.150 5.123
0.000 -2.299 5.123
Pm Mn Si
1 1 2
direct
0.000 0.000 0.000
0.500 0.500 0.500
0.205 0.205 0.205
0.795 0.795 0.795
```

Computed properties:
E_tot: -6.71 eV/atom
raw formation energy: -200.8 kJ/mol of formula units

---

| no. | size of the total moment (μB/f.u.) |
| --- | --- |
| 1 | 0.00 |
| 2 | 7.00 |
| 3 | 0.01 |